# 1
DFT (GGA-PBE) results for a geometry-optimized LiCuHg3 structure.

formation energy = 0.09 eV per atom
spin magnetization = 0.000 μB/atom
final energy = -6.5 eV/f.u.
E above lowest polymorph = 0 meV/atom

Unit cell a=5.1052 b=5.1052 c=5.1052 alpha=90.00 beta=90.00 gamma=90.00
Atoms (fractional coordinates):
Hg1 0.0000 0.5000 0.0000
Hg2 0.0000 0.0000 0.5000
Hg3 0.5000 0.0000 0.0000
Cu1 0.0000 0.0000 0.0000
Li1 0.5000 0.5000 0.5000

# 2
DFT (GGA-PBE) results for a geometry-optimized LiLuCuHg structure.

formation energy = -0.21 eV per atom
spin magnetization = 0.000 μB/atom
final energy = -11.7 eV/f.u.

Unit cell a=4.7844 b=4.7844 c=4.7844 alpha=60.00 beta=60.00 gamma=60.00
Atoms (fractional coordinates):
Lu1 0.7500 0.7500 0.7500
Hg1 0.5000 0.5000 0.5000
Cu1 0.0000 0.0000 0.0000
Li1 0.2500 0.2500 0.2500

# 3
DFT (GGA-PBE) results for a geometry-optimized LiCu2HgN structure.

spin magnetization = 0.000 μB/atom
final energy = -18.7 eV/f.u.
formation energy (no corrections) = 0.011 eV per atom

Unit cell a=3.9033 b=3.9033 c=4.3409 alpha=90.00 beta=90.00 gamma=90.00
Atoms (fractional coordinates):
Li1 0.0000 0.0000 0.5000
Hg1 0.5000 0.5000 0.5000
Cu1 0.0000 0.5000 0.0000
Cu2 0.5000 0.0000 0.0000
N1 0.0000 0.0000 0.0000